[1]
Entry from the Alexandria database: crystalline LaReRu at its relaxed geometry (GGA-PBE).

Results
Energy relative to the lowest polymorph listed for this composition: 102 meV per atom
DFT formation energy: 0.200 eV per atom
Magnetic moment: 0.00 Bohr magnetons per cell
Density of states at the Fermi level: 1.14 states/eV/atom

Cell lengths 3.083, 3.083, 12.489 Å; angles 90.00, 90.00, 90.00 degrees
Space group I4mm (No. 107)
Unique sites:
La: 0.000 0.000 0.000
Re: 0.000 0.000 0.304
Ru: 0.000 0.000 0.697

=====

[2]
Entry from the Alexandria database: crystalline LaRe2Ru at its relaxed geometry (GGA-PBE).

Results
Energy relative to the lowest polymorph listed for this composition: 415 meV per atom
DFT formation energy: 0.676 eV per atom
Magnetic moment: 0.00 Bohr magnetons per cell
Density of states at the Fermi level: 1.30 states/eV/atom

Cell lengths 3.006, 4.753, 9.822 Å; angles 90.00, 90.00, 90.00 degrees
Space group Cmmm (No. 65)
Unique sites:
La: 0.000 0.000 0.000
Re: 0.000 0.500 0.280
Ru: 0.000 0.000 0.500

=====

[3]
Entry from the Alexandria database: crystalline LaRe2Ru at its relaxed geometry (GGA-PBE).

Results
Energy relative to the lowest polymorph listed for this composition: 447 meV per atom
DFT formation energy: 0.708 eV per atom
Magnetic moment: 0.00 Bohr magnetons per cell
Density of states at the Fermi level: 1.50 states/eV/atom

Cell lengths 3.815, 3.815, 5.077 Å; angles 90.00, 90.00, 90.00 degrees
Space group P4/mmm (No. 123)
Unique sites:
La: 0.000 0.000 0.000
Re: 0.000 0.500 0.500
Ru: 0.500 0.500 0.000

=====

[4]
Entry from the Alexandria database: crystalline LaRe4Ru2 at its relaxed geometry (GGA-PBE).

Results
DFT formation energy: 2.461 eV per atom
Magnetic moment: 0.00 Bohr magnetons per cell
Density of states at the Fermi level: 1.72 states/eV/atom

Cell lengths 4.748, 4.748, 12.619 Å; angles 90.00, 90.00, 90.00 degrees
Space group I4/mmm (No. 139)
Unique sites:
La: 0.000 0.000 0.000
Re: 0.000 0.000 0.207
Re: 0.000 0.500 0.000
Ru: 0.000 0.000 0.388

=====

[5]
Entry from the Alexandria database: crystalline La2ReRu2 at its relaxed geometry (GGA-PBE).

Results
DFT formation energy: 0.045 eV per atom
Magnetic moment: 0.00 Bohr magnetons per cell
Density of states at the Fermi level: 0.78 states/eV/atom

Cell lengths 6.721, 6.721, 4.807 Å; angles 90.00, 90.00, 90.00 degrees
Space group P4/mbm (No. 127)
Unique sites:
La: 0.178 0.322 0.000
Re: 0.000 0.000 0.500
Ru: 0.150 0.650 0.500

=====

[6]
Entry from the Alexandria database: crystalline LaRe2Ru at its relaxed geometry (GGA-PBE).

Results
Energy relative to the lowest polymorph listed for this composition: 563 meV per atom
DFT formation energy: 0.824 eV per atom
Magnetic moment: 0.00 Bohr magnetons per cell
Density of states at the Fermi level: 1.44 states/eV/atom

Cell lengths 7.839, 7.839, 5.294 Å; angles 90.00, 90.00, 90.00 degrees
Space group I-42d (No. 122)
Unique sites:
La: 0.000 0.000 0.000
Re: 0.192 0.250 0.625
Ru: 0.000 0.000 0.500

=====

[7]
Entry from the Alexandria database: crystalline LaRe2Ru at its relaxed geometry (GGA-PBE).

Results
Energy relative to the lowest polymorph listed for this composition: 291 meV per atom
DFT formation energy: 0.552 eV per atom
Magnetic moment: 0.00 Bohr magnetons per cell
Density of states at the Fermi level: 1.12 states/eV/atom

Cell lengths 3.117, 4.815, 9.334 Å; angles 90.00, 90.00, 90.00 degrees
Space group Cmm2 (No. 35)
Unique sites:
La: 0.000 0.000 0.000
Re: 0.000 0.000 0.506
Re: 0.000 0.500 0.285
Ru: 0.000 0.500 0.730

=====

[8]
Entry from the Alexandria database: crystalline LaRe2Ru at its relaxed geometry (GGA-PBE).

Results
Energy relative to the lowest polymorph listed for this composition: 342 meV per atom
DFT formation energy: 0.603 eV per atom
Magnetic moment: 0.00 Bohr magnetons per cell
Density of states at the Fermi level: 1.45 states/eV/atom

Cell lengths 4.546, 3.143, 5.067 Å; angles 90.00, 90.11, 90.00 degrees
Space group P2/m (No. 10)
Unique sites:
La: 0.000 0.000 0.000
Re: 0.000 0.500 0.500
Re: 0.500 0.000 0.500
Ru: 0.500 0.500 0.000